(1)
Y2ZrNi | PBE-GGA | optimized geometry

Structure (POSCAR):
```
Y2ZrNi
1.0
-2.112 2.112 5.245
2.112 -2.112 5.245
2.112 2.112 -5.245
Y Zr Ni
2 1 1
Direct
0.000 0.000 0.000
0.750 0.250 0.500
0.250 0.750 0.500
0.500 0.500 0.000
```

Output
total magnetic moment	0.000	μB/f.u.
formation enthalpy at 0 K	18	kJ per mole of atoms
distance to the lowest polymorph of the same formula	0.303	eV per atom

---

(2)
YZr2Ni2 | PBE-GGA | optimized geometry

Structure (POSCAR):
```
YZr2Ni2
1.0
7.805 0.000 0.000
0.000 7.805 0.000
0.000 0.000 3.092
Y Zr Ni
2 4 4
Direct
0.000 0.000 0.000
0.500 0.500 0.000
0.148 0.352 0.000
0.352 0.852 0.000
0.648 0.148 0.000
0.852 0.648 0.000
0.144 0.644 0.500
0.356 0.144 0.500
0.644 0.856 0.500
0.856 0.356 0.500
```

Output
total magnetic moment	0.000	μB/f.u.
formation enthalpy at 0 K	-12	kJ per mole of atoms
distance to the lowest polymorph of the same formula	0.148	eV per atom

---

(3)
YZrNi2 | PBE-GGA | optimized geometry

Structure (POSCAR):
```
YZrNi2
1.0
-1.712 2.004 5.430
1.712 -2.004 5.430
1.712 2.004 -5.430
Y Zr Ni
1 1 2
Direct
0.000 0.000 0.000
0.270 0.770 0.500
0.573 0.573 0.000
0.734 0.234 0.500
```

Output
total magnetic moment	0.000	μB/f.u.
formation enthalpy at 0 K	-18	kJ per mole of atoms

---

(4)
YZrNi2 | PBE-GGA | optimized geometry

Structure (POSCAR):
```
YZrNi2
1.0
3.490 0.000 0.000
0.000 4.246 0.000
-1.731 0.000 4.978
Y Zr Ni
1 1 2
Direct
0.000 0.000 0.000
0.722 0.500 0.444
0.277 0.000 0.551
0.429 0.500 0.857
```

Output
total magnetic moment	0.000	μB/f.u.
formation enthalpy at 0 K	-38	kJ per mole of atoms